(1)
Below is a relaxed Dy2Ho2Er2Tm crystal, with properties calculated at the PBE level.

volume = 31.1 A^3/atom
symmetry = R-3m (166)
electronic total energy = -30.95 eV per cell
energy relative to the elements = 0.14 eV per atom

Cell: 5.595 5.595 8.668 Å, 71.17 71.17 60.00°
Fractional coordinates of all 7 atoms:
Tm1 0.000 0.000 0.000
Er1 0.714 0.714 0.858
Dy1 0.858 0.858 0.426
Dy2 0.142 0.142 0.574
Er2 0.286 0.286 0.142
Ho1 0.572 0.572 0.283
Ho2 0.428 0.428 0.717

(2)
Below is a relaxed Dy5Ho2ErTm crystal, with properties calculated at the PBE level.

volume = 31.8 A^3/atom
symmetry = Cmc2_1 (36)
electronic total energy = -79.61 eV per cell
energy relative to the elements = 0.15 eV per atom

Cell: 5.540 10.230 10.494 Å, 90.00 90.00 105.71°
Fractional coordinates of all 18 atoms:
Dy1 0.719 0.438 0.810
Er1 0.588 0.176 0.959
Dy2 0.480 0.961 0.740
Dy3 0.018 0.036 0.022
Dy4 0.281 0.562 0.310
Ho1 0.110 0.221 0.737
Dy5 0.700 0.400 0.208
Tm1 0.801 0.601 0.511
Ho2 0.113 0.227 0.316
Er2 0.412 0.824 0.459
Dy6 0.982 0.964 0.522
Dy7 0.520 0.039 0.240
Dy8 0.387 0.774 0.022
Ho3 0.887 0.773 0.816
Dy9 0.300 0.600 0.708
Ho4 0.890 0.779 0.237
Tm2 0.199 0.399 0.011
Dy10 0.613 0.226 0.522

(3)
Below is a relaxed Dy3HoEr2Tm6 crystal, with properties calculated at the PBE level.

volume = 30.3 A^3/atom
symmetry = C2/m (12)
electronic total energy = -54.06 eV per cell
energy relative to the elements = 0.02 eV per atom

Cell: 6.060 6.060 11.590 Å, 94.99 94.99 119.93°
Fractional coordinates of all 12 atoms:
Ho1 0.000 0.000 0.000
Dy1 0.833 0.167 0.500
Tm1 0.416 0.083 0.249
Tm2 0.584 0.917 0.751
Er1 0.333 0.667 0.000
Dy2 0.500 0.500 0.500
Er2 0.667 0.333 0.000
Dy3 0.167 0.833 0.500
Tm3 0.750 0.750 0.249
Tm4 0.083 0.416 0.249
Tm5 0.917 0.584 0.751
Tm6 0.250 0.250 0.751

(4)
Below is a relaxed Dy2Ho2ErTm crystal, with properties calculated at the PBE level.

volume = 30.6 A^3/atom
symmetry = Pmma (51)
electronic total energy = -53.91 eV per cell
energy relative to the elements = 0.07 eV per atom

Cell: 5.554 6.918 9.568 Å, 90.00 90.00 90.00°
Fractional coordinates of all 12 atoms:
Er1 0.500 0.758 0.342
Dy1 0.500 0.008 0.000
Ho1 0.500 0.258 0.326
Dy2 0.000 0.258 0.176
Dy3 0.000 0.758 0.824
Tm1 0.000 0.008 0.500
Dy4 0.500 0.508 0.000
Ho2 0.500 0.758 0.674
Tm2 0.000 0.508 0.500
Er2 0.500 0.258 0.658
Ho3 0.000 0.258 0.840
Ho4 0.000 0.758 0.160

(5)
Below is a relaxed Dy2HoEr2Tm4 crystal, with properties calculated at the PBE level.

volume = 30.4 A^3/atom
symmetry = C2/m (12)
electronic total energy = -40.79 eV per cell
energy relative to the elements = 0.00 eV per atom

Cell: 3.533 9.345 9.375 Å, 115.30 90.00 100.90°
Fractional coordinates of all 9 atoms:
Er1 0.667 0.333 0.001
Dy1 0.852 0.704 0.335
Ho1 0.000 0.000 0.000
Dy2 0.148 0.296 0.665
Tm1 0.815 0.629 0.665
Er2 0.333 0.667 0.999
Tm2 0.519 0.038 0.334
Tm3 0.185 0.371 0.335
Tm4 0.481 0.962 0.666

(6)
Below is a relaxed DyHo2Er3Tm6 crystal, with properties calculated at the PBE level.

volume = 30.2 A^3/atom
symmetry = C2/m (12)
electronic total energy = -53.98 eV per cell
energy relative to the elements = 0.02 eV per atom

Cell: 6.051 6.051 11.581 Å, 95.00 95.00 119.93°
Fractional coordinates of all 12 atoms:
Dy1 0.000 0.000 0.000
Ho1 0.667 0.333 0.000
Ho2 0.333 0.667 0.000
Er1 0.500 0.500 0.500
Er2 0.167 0.833 0.500
Tm1 0.750 0.750 0.251
Tm2 0.250 0.250 0.749
Er3 0.833 0.167 0.500
Tm3 0.916 0.583 0.749
Tm4 0.583 0.916 0.749
Tm5 0.417 0.084 0.251
Tm6 0.084 0.417 0.251

(7)
Below is a relaxed Dy4Ho2Er2Tm crystal, with properties calculated at the PBE level.

volume = 30.8 A^3/atom
symmetry = C2/m (12)
electronic total energy = -41.12 eV per cell
energy relative to the elements = 0.00 eV per atom

Cell: 3.550 9.391 9.417 Å, 115.28 90.00 100.90°
Fractional coordinates of all 9 atoms:
Dy1 0.518 0.037 0.333
Er1 0.333 0.667 0.000
Dy2 0.815 0.630 0.667
Er2 0.667 0.333 0.000
Tm1 0.000 0.000 0.000
Dy3 0.482 0.963 0.667
Ho1 0.852 0.704 0.333
Ho2 0.148 0.296 0.667
Dy4 0.185 0.370 0.333

(8)
Below is a relaxed DyHoEr3Tm crystal, with properties calculated at the PBE level.

volume = 31.1 A^3/atom
symmetry = C2/m (12)
electronic total energy = -52.03 eV per cell
energy relative to the elements = 0.22 eV per atom

Cell: 5.637 9.822 7.029 Å, 90.13 90.00 106.67°
Fractional coordinates of all 12 atoms:
Er1 0.783 0.565 0.750
Er2 0.217 0.435 0.250
Er3 0.166 0.332 0.747
Er4 0.834 0.668 0.253
Dy1 0.047 0.094 0.252
Ho1 0.352 0.704 0.965
Tm1 0.351 0.703 0.537
Er5 0.478 0.957 0.252
Tm2 0.649 0.297 0.463
Ho2 0.648 0.296 0.035
Er6 0.522 0.043 0.748
Dy2 0.953 0.906 0.748

(9)
Below is a relaxed DyHo4Er2Tm crystal, with properties calculated at the PBE level.

volume = 30.5 A^3/atom
symmetry = P4/mmm (123)
electronic total energy = -36.34 eV per cell
energy relative to the elements = 0.02 eV per atom

Cell: 4.957 4.958 11.102 Å, 63.50 90.00 90.00°
Fractional coordinates of all 8 atoms:
Ho1 0.500 0.749 0.251
Ho2 0.500 0.251 0.749
Dy1 0.500 0.500 0.000
Ho3 0.000 0.249 0.251
Er1 0.500 0.000 0.500
Tm1 0.000 0.500 0.500
Er2 0.000 0.000 0.000
Ho4 0.000 0.751 0.749

(10)
Below is a relaxed Dy2HoErTm6 crystal, with properties calculated at the PBE level.

volume = 30.7 A^3/atom
symmetry = C2/c (15)
electronic total energy = -87.91 eV per cell
energy relative to the elements = 0.12 eV per atom

Cell: 9.430 8.634 8.634 Å, 117.99 94.10 94.10°
Fractional coordinates of all 20 atoms:
Er1 0.750 0.592 0.408
Tm1 0.685 0.021 0.572
Tm2 0.943 0.874 0.251
Tm3 0.315 0.979 0.428
Dy1 0.544 0.196 0.301
Ho1 0.250 0.978 0.022
Dy2 0.044 0.301 0.196
Dy3 0.456 0.804 0.699
Tm4 0.057 0.126 0.749
Tm5 0.815 0.428 0.979
Tm6 0.881 0.290 0.503
Tm7 0.619 0.497 0.710
Tm8 0.557 0.749 0.126
Tm9 0.185 0.572 0.021
Dy4 0.956 0.699 0.804
Tm10 0.119 0.710 0.497
Tm11 0.443 0.251 0.874
Ho2 0.750 0.022 0.978
Er2 0.250 0.408 0.592
Tm12 0.381 0.503 0.290

(11)
Below is a relaxed Dy2Ho4ErTm crystal, with properties calculated at the PBE level.

volume = 30.6 A^3/atom
symmetry = P4/mmm (123)
electronic total energy = -36.38 eV per cell
energy relative to the elements = 0.02 eV per atom

Cell: 4.965 4.965 11.113 Å, 63.50 90.00 90.00°
Fractional coordinates of all 8 atoms:
Dy1 0.500 0.000 0.500
Er1 0.500 0.500 0.000
Ho1 0.000 0.249 0.250
Dy2 0.000 0.000 0.000
Ho2 0.000 0.751 0.750
Ho3 0.500 0.749 0.250
Tm1 0.000 0.500 0.500
Ho4 0.500 0.251 0.750

(12)
Below is a relaxed DyHo2Er2Tm crystal, with properties calculated at the PBE level.

volume = 31.5 A^3/atom
symmetry = Pnnm (58)
electronic total energy = -51.30 eV per cell
energy relative to the elements = 0.28 eV per atom

Cell: 3.335 6.507 17.404 Å, 90.00 90.00 90.00°
Fractional coordinates of all 12 atoms:
Er1 0.500 0.265 0.319
Dy1 0.000 0.000 0.500
Ho1 0.500 0.767 0.351
Ho2 0.000 0.267 0.149
Tm1 0.500 0.500 0.500
Ho3 0.000 0.733 0.851
Er2 0.000 0.235 0.819
Dy2 0.500 0.500 0.000
Ho4 0.500 0.233 0.649
Er3 0.000 0.765 0.181
Er4 0.500 0.735 0.681
Tm2 0.000 0.000 0.000

(13)
Below is a relaxed Dy5HoErTm2 crystal, with properties calculated at the PBE level.

volume = 31.7 A^3/atom
symmetry = Cmc2_1 (36)
electronic total energy = -79.35 eV per cell
energy relative to the elements = 0.16 eV per atom

Cell: 5.532 10.225 10.490 Å, 90.00 90.00 105.70°
Fractional coordinates of all 18 atoms:
Dy1 0.281 0.563 0.309
Tm1 0.113 0.227 0.316
Ho1 0.801 0.601 0.511
Dy2 0.520 0.040 0.239
Tm2 0.890 0.780 0.239
Dy3 0.719 0.437 0.809
Dy4 0.389 0.778 0.023
Tm3 0.887 0.773 0.816
Dy5 0.700 0.400 0.208
Dy6 0.982 0.964 0.523
Dy7 0.300 0.600 0.708
Dy8 0.611 0.222 0.523
Er1 0.587 0.175 0.957
Er2 0.413 0.825 0.457
Dy9 0.480 0.960 0.739
Ho2 0.199 0.399 0.011
Dy10 0.018 0.036 0.023
Tm4 0.110 0.220 0.739

(14)
Below is a relaxed Dy2HoEr6Tm3 crystal, with properties calculated at the PBE level.

volume = 30.3 A^3/atom
symmetry = C2/m (12)
electronic total energy = -54.30 eV per cell
energy relative to the elements = 0.02 eV per atom

Cell: 6.061 6.061 11.604 Å, 94.99 94.99 119.93°
Fractional coordinates of all 12 atoms:
Ho1 0.000 0.000 0.000
Er1 0.084 0.417 0.251
Tm1 0.500 0.500 0.500
Er2 0.417 0.084 0.251
Er3 0.583 0.916 0.749
Tm2 0.167 0.833 0.500
Er4 0.249 0.249 0.749
Er5 0.916 0.583 0.749
Tm3 0.833 0.167 0.500
Dy1 0.667 0.333 0.000
Er6 0.751 0.751 0.251
Dy2 0.333 0.667 0.000

(15)
Below is a relaxed Dy4Ho2ErTm2 crystal, with properties calculated at the PBE level.

volume = 30.8 A^3/atom
symmetry = C2/m (12)
electronic total energy = -41.03 eV per cell
energy relative to the elements = 0.00 eV per atom

Cell: 3.549 9.387 9.412 Å, 115.28 90.00 100.90°
Fractional coordinates of all 9 atoms:
Dy1 0.518 0.037 0.333
Ho1 0.148 0.297 0.668
Er1 0.000 0.000 0.000
Dy2 0.185 0.370 0.333
Ho2 0.852 0.703 0.332
Tm1 0.333 0.666 0.000
Dy3 0.815 0.630 0.667
Dy4 0.482 0.963 0.667
Tm2 0.667 0.334 0.000

(16)
Below is a relaxed DyHo3Er2Tm6 crystal, with properties calculated at the PBE level.

volume = 30.2 A^3/atom
symmetry = C2/m (12)
electronic total energy = -54.00 eV per cell
energy relative to the elements = 0.02 eV per atom

Cell: 6.054 6.054 11.584 Å, 94.98 94.98 119.92°
Fractional coordinates of all 12 atoms:
Tm1 0.583 0.917 0.750
Tm2 0.417 0.083 0.250
Tm3 0.083 0.417 0.250
Tm4 0.250 0.250 0.750
Ho1 0.833 0.167 0.500
Dy1 0.000 0.000 0.000
Tm5 0.750 0.750 0.250
Ho2 0.500 0.500 0.500
Er1 0.667 0.333 0.000
Er2 0.333 0.667 0.000
Ho3 0.167 0.833 0.500
Tm6 0.917 0.583 0.750

(17)
Below is a relaxed DyHo6Er2Tm crystal, with properties calculated at the PBE level.

volume = 31.1 A^3/atom
symmetry = C2/c (15)
electronic total energy = -88.90 eV per cell
energy relative to the elements = 0.12 eV per atom

Cell: 9.434 8.674 8.674 Å, 117.89 93.85 93.85°
Fractional coordinates of all 20 atoms:
Tm1 0.750 0.591 0.409
Ho1 0.944 0.876 0.248
Ho2 0.685 0.018 0.569
Ho3 0.056 0.124 0.752
Ho4 0.815 0.431 0.982
Er1 0.455 0.802 0.697
Ho5 0.556 0.752 0.124
Ho6 0.119 0.709 0.495
Dy1 0.250 0.976 0.024
Ho7 0.315 0.982 0.431
Er2 0.545 0.198 0.303
Er3 0.045 0.303 0.198
Dy2 0.750 0.024 0.976
Ho8 0.619 0.495 0.709
Ho9 0.381 0.505 0.291
Er4 0.955 0.697 0.802
Ho10 0.444 0.248 0.876
Ho11 0.881 0.291 0.505
Ho12 0.185 0.569 0.018
Tm2 0.250 0.409 0.591

(18)
Below is a relaxed Dy6YHo3Er2 crystal, with properties calculated at the PBE level.

volume = 31.2 A^3/atom
symmetry = C2/m (12)
electronic total energy = -56.71 eV per cell
energy relative to the elements = 0.02 eV per atom

Cell: 6.118 6.118 11.708 Å, 94.98 94.98 119.93°
Fractional coordinates of all 12 atoms:
Er1 0.333 0.667 0.000
Er2 0.667 0.333 0.000
Ho1 0.500 0.500 0.500
Y1 0.000 0.000 0.000
Dy1 0.418 0.084 0.250
Ho2 0.833 0.167 0.500
Dy2 0.749 0.749 0.250
Dy3 0.251 0.251 0.750
Dy4 0.582 0.916 0.750
Dy5 0.084 0.418 0.250
Ho3 0.167 0.833 0.500
Dy6 0.916 0.582 0.750

(19)
Below is a relaxed Dy4YHo2Er2 crystal, with properties calculated at the PBE level.

volume = 31.3 A^3/atom
symmetry = C2/m (12)
electronic total energy = -43.13 eV per cell
energy relative to the elements = 0.00 eV per atom

Cell: 3.568 9.440 9.466 Å, 115.29 90.00 100.89°
Fractional coordinates of all 9 atoms:
Dy1 0.815 0.629 0.666
Er1 0.667 0.335 0.000
Er2 0.333 0.665 0.000
Dy2 0.481 0.963 0.665
Ho1 0.148 0.297 0.667
Ho2 0.852 0.703 0.333
Dy3 0.519 0.037 0.335
Dy4 0.185 0.371 0.334
Y1 0.000 0.000 0.000

(20)
Below is a relaxed DyY2Ho4Er2 crystal, with properties calculated at the PBE level.

volume = 31.3 A^3/atom
symmetry = C2/m (12)
electronic total energy = -44.95 eV per cell
energy relative to the elements = 0.00 eV per atom

Cell: 3.566 9.433 9.466 Å, 115.28 90.00 100.89°
Fractional coordinates of all 9 atoms:
Er1 0.667 0.334 0.002
Ho1 0.185 0.370 0.334
Ho2 0.518 0.037 0.332
Dy1 0.000 0.000 0.000
Er2 0.333 0.666 0.998
Ho3 0.815 0.630 0.666
Y1 0.148 0.295 0.666
Ho4 0.482 0.963 0.668
Y2 0.852 0.705 0.334